Record 1
{"formula": "BaInSn2Rh", "functional": "PBE", "state": "relaxed", "formation_energy_mev_per_atom": -324, "cell": [[5.2670, 0.0000, 0.0000], [0.0000, 5.2670, 0.0000], [0.0000, 0.0000, 5.2273]], "species": ["In", "Sn", "Rh", "Ba", "Sn"], "fractional_positions": [[0.0000, 0.0000, 0.5000], [0.0000, 0.5000, 0.0000], [0.0000, 0.0000, 0.0000], [0.5000, 0.5000, 0.5000], [0.5000, 0.0000, 0.0000]]}


Record 2
{"formula": "Pm8TmTl2", "functional": "PBE", "state": "relaxed", "relative_energy_ev_per_atom": 0.063, "formation_energy_mev_per_atom": -42, "cell": [[6.0931, 0.9718, 0.6789], [2.6016, 9.4452, 2.4585], [2.6016, 5.5588, 8.0221]], "species": ["Tl", "Pm", "Pm", "Tm", "Pm", "Pm", "Pm", "Pm", "Tl", "Pm", "Pm"], "fractional_positions": [[0.2515, 0.6771, 0.6771], [0.6614, 0.8757, 0.8757], [0.7812, 0.4340, 0.9148], [0.0000, 0.0000, 0.0000], [0.7812, 0.9148, 0.4340], [0.3386, 0.1243, 0.1243], [0.2715, 0.4899, 0.4899], [0.2188, 0.0852, 0.5660], [0.7485, 0.3229, 0.3229], [0.2188, 0.5660, 0.0852], [0.7285, 0.5101, 0.5101]]}


Record 3
{"formula": "Sr5Mg6", "functional": "PBE", "state": "relaxed", "formation_energy_mev_per_atom": 50, "cell": [[-5.7994, -0.0204, -0.4665], [0.7048, 0.7840, -8.3906], [2.6361, -8.4900, 3.6785]], "species": ["Mg", "Mg", "Sr", "Sr", "Mg", "Sr", "Mg", "Sr", "Sr", "Mg", "Mg"], "fractional_positions": [[0.1220, 0.9404, 0.2459], [0.8761, 0.6945, 0.7541], [0.3005, 0.8005, 0.6010], [0.3444, 0.3444, 0.6888], [0.8780, 0.0596, 0.7541], [0.6556, 0.6556, 0.3112], [0.5008, 0.8077, 0.0000], [0.6995, 0.1995, 0.3990], [0.0000, 0.5000, 0.0000], [0.1239, 0.3055, 0.2459], [0.4992, 0.1923, 0.0000]]}


Record 4
{"formula": "ScSeN2", "functional": "PBE", "state": "relaxed", "raw_formation_energy_mev_per_atom": 706.1, "cell": [[-0.5522, 5.5564, 3.6862], [1.7866, 6.2403, 1.6226], [-1.2655, 6.5293, 0.7297]], "species": ["N", "N", "Sc", "Se"], "fractional_positions": [[0.1082, 0.1082, 0.1082], [0.8918, 0.8918, 0.8918], [0.0000, 0.0000, 0.0000], [0.5000, 0.5000, 0.5000]]}


| no. | E_tot (eV for the cell shown) |
| --- | --- |
| 1 | -21.64 |
| 2 | -47.67 |
| 3 | -17.42 |
| 4 | -23.64 |